Computed, not measured: a relaxed LaReN3 crystal at the GGA-PBE level of DFT.

DFT total energy = -9.011 eV per atom
symmetry = P-1
density of states at the Fermi level = 0.24 states/eV/f.u.
energy relative to the elements, uncorrected = -0.541 eV per atom

POSCAR file:
```
LaReN3
1.0
-2.852 -2.602 -4.942
-4.776 -3.207 0.954
-2.690 3.396 -2.284
Re N La
2 6 2
direct
0.664 0.007 0.902
0.823 0.854 0.319
0.016 0.883 0.897
0.130 0.483 0.233
0.810 0.146 0.512
0.678 0.715 0.708
0.358 0.378 0.987
0.471 0.978 0.323
0.043 0.291 0.718
0.445 0.569 0.502
```



Computed, not measured: a relaxed LaReN3 crystal at the GGA-PBE level of DFT.

DFT total energy = -8.819 eV per atom
symmetry = P6_3/mmc
density of states at the Fermi level = 0.51 states/eV/f.u.
energy relative to the elements, uncorrected = -0.349 eV per atom

POSCAR file:
```
LaReN3
1.0
-1.769 -2.535 2.004
1.341 -0.880 -3.316
10.621 -3.317 5.176
Re N La
2 6 2
direct
0.333 0.667 0.750
0.667 0.333 0.250
0.000 0.000 0.250
0.000 0.000 0.750
0.333 0.667 0.903
0.333 0.667 0.597
0.667 0.333 0.403
0.667 0.333 0.097
0.000 0.000 0.000
0.000 0.000 0.500
```



Computed, not measured: a relaxed LaReN3 crystal at the GGA-PBE level of DFT.

DFT total energy = -9.028 eV per atom
symmetry = P-1
density of states at the Fermi level = 0.02 states/eV/f.u.
energy relative to the elements, uncorrected = -0.557 eV per atom

POSCAR file:
```
LaReN3
1.0
-4.406 2.457 3.169
2.601 -4.518 2.607
3.464 3.921 0.091
Re N La
2 6 2
direct
0.682 0.016 0.863
0.666 0.845 0.357
0.896 0.925 0.087
0.636 0.480 0.221
0.968 0.154 0.667
0.380 0.707 0.553
0.713 0.381 0.000
0.452 0.936 0.133
0.320 0.235 0.444
0.028 0.626 0.776
```



Computed, not measured: a relaxed LaReN3 crystal at the GGA-PBE level of DFT.

DFT total energy = -9.095 eV per atom
symmetry = Cmcm
density of states at the Fermi level = 2.21 states/eV/f.u.
energy relative to the elements, uncorrected = -0.625 eV per atom

POSCAR file:
```
LaReN3
1.0
-2.265 0.775 2.651
3.941 -2.806 4.187
4.262 5.453 -0.358
La Re N
2 2 6
direct
0.826 0.750 0.152
0.174 0.250 0.848
0.575 0.750 0.649
0.425 0.250 0.351
0.341 0.028 0.181
0.659 0.972 0.819
0.341 0.472 0.181
0.659 0.528 0.819
0.016 0.750 0.532
0.984 0.250 0.468
```



Computed, not measured: a relaxed LaReN3 crystal at the GGA-PBE level of DFT.

DFT total energy = -7.990 eV per atom
symmetry = P4/mmm
density of states at the Fermi level = 3.48 states/eV/f.u.
energy relative to the elements, uncorrected = 0.481 eV per atom

POSCAR file:
```
LaReN3
1.0
4.000 0.000 0.000
0.000 4.000 0.000
0.000 0.000 4.638
Re N La
1 3 1
direct
0.500 0.500 0.552
0.000 0.000 0.553
0.500 0.000 0.552
0.000 0.500 0.552
0.000 0.000 0.053
```



Computed, not measured: a relaxed LaReN3 crystal at the GGA-PBE level of DFT.

DFT total energy = -8.883 eV per atom
symmetry = Cmcm
density of states at the Fermi level = 2.63 states/eV/f.u.
energy relative to the elements, uncorrected = -0.413 eV per atom

POSCAR file:
```
LaReN3
1.0
-6.449 0.735 -2.158
5.261 -4.315 0.700
-1.830 -1.423 4.984
Re N La
2 6 2
direct
0.099 0.901 0.250
0.901 0.099 0.750
0.867 0.453 0.250
0.547 0.133 0.250
0.453 0.867 0.750
0.133 0.547 0.750
0.000 0.000 0.000
0.000 0.000 0.500
0.372 0.628 0.250
0.628 0.372 0.750
```



Computed, not measured: a relaxed LaReN3 crystal at the GGA-PBE level of DFT.

DFT total energy = -8.996 eV per atom
symmetry = Cm
density of states at the Fermi level = 0.00 states/eV/f.u.
energy relative to the elements, uncorrected = -0.526 eV per atom

POSCAR file:
```
LaReN3
1.0
6.921 -0.007 0.009
-1.143 3.818 -0.001
2.385 -3.444 6.902
Re N La
2 6 2
direct
0.956 0.319 0.005
0.991 0.060 0.228
0.249 0.252 0.292
0.539 0.976 0.870
0.187 0.253 0.823
0.554 0.085 0.472
0.724 0.063 0.365
0.700 0.131 0.945
0.456 0.672 0.107
0.326 0.630 0.631
```



Computed, not measured: a relaxed LaReN3 crystal at the GGA-PBE level of DFT.

DFT total energy = -9.007 eV per atom
symmetry = P1
density of states at the Fermi level = 0.00 states/eV/f.u.
energy relative to the elements, uncorrected = -0.537 eV per atom

POSCAR file:
```
LaReN3
1.0
-3.243 3.031 -3.935
1.504 -1.928 -3.676
-2.885 -5.983 2.614
Re N La
2 6 2
direct
0.290 0.306 0.257
0.296 0.661 0.565
0.596 0.303 0.247
0.399 0.310 0.729
0.950 0.748 0.524
0.444 0.032 0.780
0.282 0.957 0.364
0.005 0.427 0.014
0.731 0.748 0.146
0.928 0.275 0.659
```